(1)
Density functional theory data (PBE-GGA) for a relaxed KBiTe crystal.

Cell: 5.2311 5.2311 5.4039 Å, 90.00 90.00 120.00°
Space group P3m1 (No. 156)
Asymmetric unit:
1 K 0.0000 0.0000 0.0000
2 Bi 0.3333 0.6667 0.4618
3 Te 0.6667 0.3333 0.5872

Properties
Relative energy among the computed polymorphs, meV per atom: 16
Energy, eV per atom: -3.07


(2)
Density functional theory data (PBE-GGA) for a relaxed KBi2Te3 crystal.

Cell: 4.418 12.508 8.155 Å, 90.00 90.00 90.00°
Space group Pmc2_1 (No. 26)
Asymmetric unit:
1 K 0.000 0.141 0.000
2 Bi 0.000 0.195 0.496
3 Bi 0.500 0.500 0.485
4 Te 0.000 0.396 0.752
5 Te 0.500 0.068 0.667
6 Te 0.500 0.307 0.254

Properties
Energy, eV per atom: -3.41


(3)
Density functional theory data (PBE-GGA) for a relaxed K2BiTe2 crystal.

Cell: 5.655 20.158 7.121 Å, 90.00 90.00 90.00°
Space group Cmc2_1 (No. 36)
Asymmetric unit:
1 K 0.000 0.012 0.000
2 K 0.000 0.203 0.246
3 Bi 0.000 0.395 0.179
4 Te 0.000 0.163 0.735
5 Te 0.000 0.418 0.775

Properties
Relative energy among the computed polymorphs, meV per atom: 0
Energy, eV per atom: -3.12


(4)
Density functional theory data (PBE-GGA) for a relaxed KBi2Te crystal.

Cell: 9.662 9.662 6.501 Å, 90.00 90.00 90.00°
Space group I-42d (No. 122)
Asymmetric unit:
1 K 0.000 0.000 0.000
2 Bi 0.207 0.250 0.625
3 Te 0.000 0.000 0.500

Properties
Energy, eV per atom: -3.11


Copy entry 1 word for word.
Density functional theory data (PBE-GGA) for a relaxed KBiTe crystal.

Cell: 5.2311 5.2311 5.4039 Å, 90.00 90.00 120.00°
Space group P3m1 (No. 156)
Asymmetric unit:
1 K 0.0000 0.0000 0.0000
2 Bi 0.3333 0.6667 0.4618
3 Te 0.6667 0.3333 0.5872

Properties
Relative energy among the computed polymorphs, meV per atom: 16
Energy, eV per atom: -3.07